{
  "formula": "Sb2TePb",
  "functional": "PBEsol",
  "state": "optimized geometry",
  "lattice_angstrom": [[2.197, 1.269, 7.567], [-2.197, 1.269, 7.567], [0.000, -2.537, 7.567]],
  "species": ["Sb", "Sb", "Te", "Pb"],
  "frac_coords": [[0.000, 0.000, 0.000], [0.267, 0.267, 0.267], [0.506, 0.506, 0.506], [0.764, 0.764, 0.764]],
  "e_form_raw_ev_per_atom": -0.12,
  "polymorph_energy_mev_per_atom": 0,
  "total_magnetization_mub_per_cell": 0.00
}

{
  "formula": "Na3Mg2Mo3O12",
  "functional": "PBEsol",
  "state": "optimized geometry",
  "lattice_angstrom": [[6.133, -6.534, 0.000], [6.133, 6.534, 0.000], [-2.556, 0.000, 6.613]],
  "species": ["Na", "Na", "Na", "Na", "Na", "Na", "Mg", "Mg", "Mg", "Mg", "Mo", "Mo", "Mo", "Mo", "Mo", "Mo", "O", "O", "O", "O", "O", "O", "O", "O", "O", "O", "O", "O", "O", "O", "O", "O", "O", "O", "O", "O", "O", "O", "O", "O"],
  "frac_coords": [[0.000, 0.000, 0.000], [0.000, 0.000, 0.500], [0.234, 0.766, 0.750], [0.489, 0.511, 0.250], [0.511, 0.489, 0.750], [0.766, 0.234, 0.250], [0.130, 0.447, 0.881], [0.447, 0.130, 0.381], [0.553, 0.870, 0.619], [0.870, 0.553, 0.119], [0.155, 0.381, 0.381], [0.218, 0.782, 0.250], [0.381, 0.155, 0.881], [0.619, 0.845, 0.119], [0.782, 0.218, 0.750], [0.845, 0.619, 0.619], [0.019, 0.757, 0.248], [0.033, 0.205, 0.320], [0.096, 0.462, 0.167], [0.151, 0.498, 0.623], [0.205, 0.033, 0.820], [0.243, 0.981, 0.252], [0.259, 0.665, 0.029], [0.335, 0.741, 0.471], [0.341, 0.353, 0.909], [0.353, 0.341, 0.409], [0.462, 0.096, 0.667], [0.498, 0.151, 0.123], [0.502, 0.849, 0.877], [0.538, 0.904, 0.333], [0.647, 0.659, 0.591], [0.659, 0.647, 0.091], [0.665, 0.259, 0.529], [0.741, 0.335, 0.971], [0.757, 0.019, 0.748], [0.795, 0.967, 0.180], [0.849, 0.502, 0.377], [0.904, 0.538, 0.833], [0.967, 0.795, 0.680], [0.981, 0.243, 0.752]],
  "e_form_raw_ev_per_atom": -2.15,
  "total_magnetization_mub_per_cell": 2.24
}

{
  "formula": "Tc4PCl",
  "functional": "PBEsol",
  "state": "optimized geometry",
  "lattice_angstrom": [[0.000, 3.592, 3.592], [3.592, 0.000, 3.592], [3.592, 3.592, 0.000]],
  "species": ["Tc", "Tc", "Tc", "Tc", "P", "Cl"],
  "frac_coords": [[0.376, 0.376, 0.376], [0.376, 0.376, 0.873], [0.376, 0.873, 0.376], [0.873, 0.376, 0.376], [0.750, 0.750, 0.750], [0.000, 0.000, 0.000]],
  "e_form_raw_ev_per_atom": 1.04,
  "total_magnetization_mub_per_cell": 0.00
}

{
  "formula": "OsCN2",
  "functional": "PBEsol",
  "state": "optimized geometry",
  "lattice_angstrom": [[1.285, 0.742, 5.737], [-1.285, 0.742, 5.737], [0.000, -1.484, 5.737]],
  "species": ["Os", "C", "N", "N"],
  "frac_coords": [[0.000, 0.000, 0.000], [0.500, 0.500, 0.500], [0.114, 0.114, 0.114], [0.886, 0.886, 0.886]],
  "e_form_raw_ev_per_atom": 1.29,
  "total_magnetization_mub_per_cell": 0.00
}

{
  "formula": "LaAl2Cr",
  "functional": "PBEsol",
  "state": "optimized geometry",
  "lattice_angstrom": [[0.000, 3.414, 3.414], [3.414, 0.000, 3.414], [3.414, 3.414, 0.000]],
  "species": ["La", "Al", "Al", "Cr"],
  "frac_coords": [[0.000, 0.000, 0.000], [0.250, 0.250, 0.250], [0.750, 0.750, 0.750], [0.500, 0.500, 0.500]],
  "total_magnetization_mub_per_cell": 3.09,
  "ef_ev_per_atom": 0.066
}

{
  "formula": "Tl3IrOs",
  "functional": "PBEsol",
  "state": "optimized geometry",
  "lattice_angstrom": [[5.119, 0.000, 0.000], [0.000, 5.119, 0.000], [0.000, 0.000, 5.119]],
  "species": ["Tl", "Tl", "Tl", "Ir", "Os"],
  "frac_coords": [[0.000, 0.000, 0.500], [0.000, 0.500, 0.000], [0.500, 0.000, 0.000], [0.500, 0.500, 0.500], [0.000, 0.000, 0.000]],
  "total_magnetization_mub_per_cell": 1.88,
  "ef_ev_per_atom": 1.540
}

{
  "formula": "MgZrIO2",
  "functional": "PBEsol",
  "state": "optimized geometry",
  "lattice_angstrom": [[4.029, 0.000, 0.000], [0.000, 4.029, 0.000], [0.000, 0.000, 5.038]],
  "species": ["Mg", "Zr", "I", "O", "O"],
  "frac_coords": [[0.000, 0.000, 0.000], [0.500, 0.500, 0.500], [0.000, 0.000, 0.500], [0.000, 0.500, 0.000], [0.500, 0.000, 0.000]],
  "e_form_raw_ev_per_atom": -0.66,
  "total_magnetization_mub_per_cell": 0.00
}

{
  "formula": "TlNiS2Cl",
  "functional": "PBEsol",
  "state": "optimized geometry",
  "lattice_angstrom": [[5.020, 0.000, 0.000], [0.000, 5.020, 0.000], [0.000, 0.000, 5.130]],
  "species": ["Tl", "Ni", "S", "S", "Cl"],
  "frac_coords": [[0.000, 0.000, 0.000], [0.500, 0.500, 0.500], [0.000, 0.500, 0.000], [0.500, 0.000, 0.000], [0.000, 0.000, 0.500]],
  "e_form_raw_ev_per_atom": 0.98,
  "polymorph_energy_mev_per_atom": 1064,
  "total_magnetization_mub_per_cell": 1.65
}

{
  "formula": "In2CoNi",
  "functional": "PBEsol",
  "state": "optimized geometry",
  "lattice_angstrom": [[4.074, -1.519, 0.000], [4.074, 1.519, 0.000], [-1.151, 0.000, 5.043]],
  "species": ["In", "In", "Co", "Ni"],
  "frac_coords": [[0.250, 0.250, 0.249], [0.750, 0.750, 0.751], [0.500, 0.500, 0.000], [0.000, 0.000, 0.500]],
  "polymorph_energy_mev_per_atom": 139,
  "total_magnetization_mub_per_cell": 0.65,
  "ef_ev_per_atom": 0.211
}

{
  "formula": "NdMgHg2",
  "functional": "PBEsol",
  "state": "optimized geometry",
  "lattice_angstrom": [[0.000, 3.604, 3.604], [3.604, 0.000, 3.604], [3.604, 3.604, 0.000]],
  "species": ["Nd", "Mg", "Hg", "Hg"],
  "frac_coords": [[0.000, 0.000, 0.000], [0.500, 0.500, 0.500], [0.250, 0.250, 0.250], [0.750, 0.750, 0.750]],
  "total_magnetization_mub_per_cell": 0.00,
  "ef_ev_per_atom": -0.563
}

{
  "formula": "Pr2Tl",
  "functional": "PBEsol",
  "state": "optimized geometry",
  "lattice_angstrom": [[5.514, 0.000, 0.000], [-2.757, 4.775, 0.000], [0.000, 0.000, 6.845]],
  "species": ["Pr", "Pr", "Pr", "Pr", "Tl", "Tl"],
  "frac_coords": [[0.000, 0.000, 0.000], [0.000, 0.000, 0.500], [0.333, 0.667, 0.250], [0.667, 0.333, 0.750], [0.333, 0.667, 0.750], [0.667, 0.333, 0.250]],
  "total_magnetization_mub_per_cell": 0.97,
  "ef_ev_per_atom": -0.316
}

{
  "formula": "Y2Os3",
  "functional": "PBEsol",
  "state": "optimized geometry",
  "lattice_angstrom": [[3.951, 0.000, 0.000], [-1.975, 3.421, 0.000], [0.000, 0.000, 8.458]],
  "species": ["Y", "Y", "Os", "Os", "Os"],
  "frac_coords": [[0.333, 0.667, 0.310], [0.667, 0.333, 0.690], [0.000, 0.000, 0.500], [0.333, 0.667, 0.966], [0.667, 0.333, 0.034]],
  "total_magnetization_mub_per_cell": 0.19,
  "ef_ev_per_atom": 0.480
}

{
  "formula": "MoRu5",
  "functional": "PBEsol",
  "state": "optimized geometry",
  "lattice_angstrom": [[1.892, -5.712, 0.000], [1.892, 5.712, 0.000], [0.000, 0.000, 3.789]],
  "species": ["Mo", "Ru", "Ru", "Ru", "Ru", "Ru"],
  "frac_coords": [[0.000, 0.000, 0.000], [0.168, 0.832, 0.500], [0.331, 0.669, 0.000], [0.500, 0.500, 0.500], [0.669, 0.331, 0.000], [0.832, 0.168, 0.500]],
  "polymorph_energy_mev_per_atom": 84,
  "total_magnetization_mub_per_cell": 0.00,
  "ef_ev_per_atom": 0.066
}

{
  "formula": "CuP3Br",
  "functional": "PBEsol",
  "state": "optimized geometry",
  "lattice_angstrom": [[4.746, 0.000, 0.000], [0.000, 4.746, 0.000], [0.000, 0.000, 4.746]],
  "species": ["Cu", "P", "P", "P", "Br"],
  "frac_coords": [[0.000, 0.000, 0.000], [0.000, 0.500, 0.500], [0.500, 0.000, 0.500], [0.500, 0.500, 0.000], [0.500, 0.500, 0.500]],
  "e_form_raw_ev_per_atom": 1.76,
  "total_magnetization_mub_per_cell": 0.00
}

{
  "formula": "NaMgRh3",
  "functional": "PBEsol",
  "state": "optimized geometry",
  "lattice_angstrom": [[4.563, 0.000, 0.000], [0.000, 4.563, 0.000], [0.000, 0.000, 4.563]],
  "species": ["Na", "Mg", "Rh", "Rh", "Rh"],
  "frac_coords": [[0.000, 0.000, 0.000], [0.500, 0.500, 0.500], [0.000, 0.500, 0.500], [0.500, 0.000, 0.500], [0.500, 0.500, 0.000]],
  "total_magnetization_mub_per_cell": 0.01,
  "ef_ev_per_atom": 1.193
}

{
  "formula": "KMnSi2Os",
  "functional": "PBEsol",
  "state": "optimized geometry",
  "lattice_angstrom": [[4.422, 0.000, 0.000], [0.000, 4.422, 0.000], [0.000, 0.000, 4.869]],
  "species": ["K", "Mn", "Si", "Si", "Os"],
  "frac_coords": [[0.000, 0.000, 0.000], [0.000, 0.000, 0.500], [0.000, 0.500, 0.500], [0.500, 0.000, 0.500], [0.500, 0.500, 0.000]],
  "e_form_raw_ev_per_atom": 1.59,
  "total_magnetization_mub_per_cell": 4.22
}

{
  "formula": "Li2Ta",
  "functional": "PBEsol",
  "state": "optimized geometry",
  "lattice_angstrom": [[-1.330, 1.330, 7.325], [1.330, -1.330, 7.325], [1.330, 1.330, -7.325]],
  "species": ["Li", "Li", "Ta"],
  "frac_coords": [[0.162, 0.162, 0.000], [0.838, 0.838, 0.000], [0.500, 0.500, 0.000]],
  "polymorph_energy_mev_per_atom": 0,
  "total_magnetization_mub_per_cell": 0.00,
  "ef_ev_per_atom": 0.408
}

{
  "formula": "Ti2ZnPd2",
  "functional": "PBEsol",
  "state": "optimized geometry",
  "lattice_angstrom": [[7.190, 0.000, 0.000], [0.000, 7.190, 0.000], [0.000, 0.000, 3.013]],
  "species": ["Ti", "Ti", "Ti", "Ti", "Zn", "Zn", "Pd", "Pd", "Pd", "Pd"],
  "frac_coords": [[0.170, 0.330, 0.000], [0.330, 0.830, 0.000], [0.670, 0.170, 0.000], [0.830, 0.670, 0.000], [0.000, 0.000, 0.500], [0.500, 0.500, 0.500], [0.131, 0.631, 0.500], [0.369, 0.131, 0.500], [0.631, 0.869, 0.500], [0.869, 0.369, 0.500]],
  "total_magnetization_mub_per_cell": 0.00,
  "ef_ev_per_atom": -0.429
}

{
  "formula": "Ga3Pd7",
  "functional": "PBEsol",
  "state": "optimized geometry",
  "lattice_angstrom": [[6.762, -2.023, 0.000], [6.762, 2.023, 0.000], [-1.417, 0.000, 5.226]],
  "species": ["Ga", "Ga", "Ga", "Pd", "Pd", "Pd", "Pd", "Pd", "Pd", "Pd"],
  "frac_coords": [[0.000, 0.000, 0.000], [0.192, 0.192, 0.660], [0.808, 0.808, 0.340], [0.000, 0.000, 0.500], [0.206, 0.206, 0.139], [0.376, 0.376, 0.617], [0.417, 0.417, 0.144], [0.583, 0.583, 0.856], [0.624, 0.624, 0.383], [0.794, 0.794, 0.861]],
  "total_magnetization_mub_per_cell": 0.00,
  "ef_ev_per_atom": -0.610
}

{
  "formula": "BTe3Rh",
  "functional": "PBEsol",
  "state": "optimized geometry",
  "lattice_angstrom": [[5.133, 0.000, 0.000], [0.000, 5.133, 0.000], [0.000, 0.000, 5.133]],
  "species": ["B", "Te", "Te", "Te", "Rh"],
  "frac_coords": [[0.000, 0.000, 0.000], [0.000, 0.500, 0.500], [0.500, 0.000, 0.500], [0.500, 0.500, 0.000], [0.500, 0.500, 0.500]],
  "e_form_raw_ev_per_atom": 1.24,
  "total_magnetization_mub_per_cell": 0.00
}

We obtain electronic total energy values of -17.1 -297.9 -46.7 -33.7 -23.5 -22.2 -26.4 -14.7 -19.0 -10.3 -27.9 -47.9 -62.2 -14.8 -21.6 -26.6 -15.3 -64.6 -57.8 -19.5 eV/cell for the records listed above, in that order.
We obtain density of states at the Fermi level values of 0.099 13.711 5.957 1.732 1.507 9.033 2.085 9.649 3.556 1.333 9.096 4.435 6.238 5.431 9.149 4.379 2.587 6.327 3.098 6.300 states/eV/cell for the records listed above, in that order.
We obtain calculated volume values of 127 530 93 33 80 134 82 129 62 94 180 114 82 107 95 95 52 156 143 135 Å³ per cell for the records listed above, in that order.